Entry 1:
A plane-wave DFT calculation with PBE was carried out for a geometry-optimized SiCCl structure.

ρ: 1.81 Mg/m³
Energy: -0.389 Ry per atom
ΔE_f (raw): 20.06 kJ per mole of atoms

a b c (Å): 3.1804 6.6617 6.8944
angles (deg): 107.17 95.23 93.89
Space group P-1 (No. 2)
Asymmetric unit:
Si 0.1410 0.0602 0.3617
C 0.3891 0.0843 0.6286
Cl 0.1761 0.2856 0.2173

***

Entry 2:
A plane-wave DFT calculation with PBE was carried out for a geometry-optimized LaOsAu2 structure.

ρ: 14.97 Mg/m³
Energy: -0.418 Ry per atom
Formation enthalpy at 0 K: -0.1 eV/f.u.

a b c (Å): 4.2582 4.2582 4.4243
angles (deg): 90.00 90.00 90.00
Space group P4/mmm (No. 123)
Asymmetric unit:
La 0.0000 0.0000 0.0000
Os 0.5000 0.5000 0.0000
Au 0.0000 0.5000 0.5000

***

Entry 3:
A plane-wave DFT calculation with PBE was carried out for a geometry-optimized MgMn2Cr structure.

ρ: 5.28 Mg/m³
Energy: -0.518 Ry per atom
Formation enthalpy at 0 K: 1.4 eV/f.u.

a b c (Å): 3.7357 3.7357 8.3985
angles (deg): 90.00 90.00 90.00
Space group I-4m2 (No. 119)
Asymmetric unit:
Mg 0.0000 0.0000 0.0000
Mn 0.0000 0.0000 0.5000
Mn 0.0000 0.5000 0.7500
Cr 0.0000 0.5000 0.2500

***

Entry 4:
A plane-wave DFT calculation with PBE was carried out for a geometry-optimized Tc2MoW structure.

ρ: 12.88 Mg/m³
Energy: -0.812 Ry per atom
Formation enthalpy at 0 K: 0.3 eV/f.u.
ΔE to the lowest computed polymorph: 11 meV/atom

a b c (Å): 6.2602 6.2602 6.2602
angles (deg): 90.00 90.00 90.00
Space group Fm-3m (No. 225)
Asymmetric unit:
Tc 0.2500 0.2500 0.2500
Mo 0.0000 0.0000 0.0000
W 0.0000 0.0000 0.5000

***

Entry 5:
A plane-wave DFT calculation with PBE was carried out for a geometry-optimized TaCo3Pt structure.

ρ: 10.83 Mg/m³
Energy: -0.471 Ry per atom
Formation enthalpy at 0 K: 7.1 eV/f.u.
ΔE to the lowest computed polymorph: 1584 meV/atom

a b c (Å): 4.3923 4.3923 4.3923
angles (deg): 90.00 90.00 90.00
Space group Pm-3m (No. 221)
Asymmetric unit:
Ta 0.0000 0.0000 0.0000
Co 0.0000 0.0000 0.5000
Pt 0.5000 0.5000 0.5000

***

Entry 6:
A plane-wave DFT calculation with PBE was carried out for a geometry-optimized CeGaCuAg structure.

ρ: 8.14 Mg/m³
Energy: -0.308 Ry per atom
Formation enthalpy at 0 K: -0.8 eV/f.u.

a b c (Å): 6.7763 6.7763 6.7763
angles (deg): 90.00 90.00 90.00
Space group F-43m (No. 216)
Asymmetric unit:
Ce 0.0000 0.0000 0.0000
Ga 0.2500 0.2500 0.7500
Cu 0.2500 0.2500 0.2500
Ag 0.0000 0.0000 0.5000

***

Entry 7:
A plane-wave DFT calculation with PBE was carried out for a geometry-optimized CoNi4H4 structure.

ρ: 7.94 Mg/m³
Energy: -0.357 Ry per atom

a b c (Å): 8.6368 2.6068 6.3620
angles (deg): 90.00 119.55 90.00
Space group C2/m (No. 12)
Asymmetric unit:
Co 0.0000 0.0000 0.0000
Ni 0.0983 0.5000 0.3993
Ni 0.1970 0.0000 0.7947
H 0.0977 0.5000 0.8992
H 0.2002 0.0000 0.3042

***

Entry 8:
A plane-wave DFT calculation with PBE was carried out for a geometry-optimized Mg6ZnIr structure.

ρ: 4.38 Mg/m³
Energy: -0.192 Ry per atom
Formation enthalpy at 0 K: -1.2 eV/f.u.
ΔE to the lowest computed polymorph: 0 meV/atom

a b c (Å): 4.5881 4.5881 14.5173
angles (deg): 90.00 90.00 90.00
Space group I4/mmm (No. 139)
Asymmetric unit:
Mg 0.0000 0.0000 0.2431
Mg 0.0000 0.5000 0.1049
Zn 0.0000 0.0000 0.5000
Ir 0.0000 0.0000 0.0000

***

What did the eighth record say?
A plane-wave DFT calculation with PBE was carried out for a geometry-optimized Mg6ZnIr structure.

ρ: 4.38 Mg/m³
Energy: -0.192 Ry per atom
Formation enthalpy at 0 K: -1.2 eV/f.u.
ΔE to the lowest computed polymorph: 0 meV/atom

a b c (Å): 4.5881 4.5881 14.5173
angles (deg): 90.00 90.00 90.00
Space group I4/mmm (No. 139)
Asymmetric unit:
Mg 0.0000 0.0000 0.2431
Mg 0.0000 0.5000 0.1049
Zn 0.0000 0.0000 0.5000
Ir 0.0000 0.0000 0.0000

***

Among the records above, which one has the highest ρ? LaOsAu2

***

What is the formula in the fourth record? Tc2MoW

***

What is the ρ in the fourth record? 12.88 Mg/m³